(1)
! Ca8ZnCu2 PBE-GGA relaxed; values from VASP
&SYSTEM
  ibrav = 0, nat = 11, ntyp = 3
/
ATOMIC_SPECIES
Ca 40.08 Ca.upf
Zn 65.41 Zn.upf
Cu 63.55 Cu.upf
CELL_PARAMETERS angstrom
4.574 -6.748 0.000
4.574 6.748 0.000
-1.666 0.000 5.776
ATOMIC_POSITIONS angstrom
Ca 0.000 0.000 0.000
Ca 0.544 1.761 3.489
Ca 3.083 3.105 1.118
Ca 0.544 -1.761 3.489
Ca 3.923 1.769 4.560
Ca 3.083 -3.105 1.118
Ca 3.923 -1.769 4.560
Ca 6.135 0.000 2.193
Zn 3.281 0.000 0.360
Cu 2.232 4.223 3.980
Cu 2.232 -4.223 3.980
! SG: No. 8
! Energy relative to the elements (eV/f.u.): -0.4



(2)
! Ca6Zn2Cu PBE-GGA relaxed; values from VASP
&SYSTEM
  ibrav = 0, nat = 18, ntyp = 3
/
ATOMIC_SPECIES
Ca 40.08 Ca.upf
Zn 65.41 Zn.upf
Cu 63.55 Cu.upf
CELL_PARAMETERS angstrom
-5.064 5.115 5.325
5.064 -5.115 5.325
5.064 5.115 -5.325
ATOMIC_POSITIONS angstrom
Ca 5.064 -3.041 3.495
Ca 3.120 0.000 2.693
Ca 7.007 0.000 2.693
Ca 3.285 2.666 0.000
Ca 6.842 2.666 0.000
Ca 0.000 2.075 1.830
Ca 5.064 3.041 3.495
Ca -1.779 2.449 5.325
Ca 1.779 2.449 5.325
Ca -1.944 5.115 2.632
Ca 1.944 5.115 2.632
Ca 0.000 8.156 1.830
Zn 1.484 0.000 0.000
Zn 8.643 0.000 0.000
Zn 0.000 0.000 4.068
Zn 0.000 0.000 6.581
Cu 5.064 0.000 0.000
Cu 0.000 5.115 0.000
! SG: No. 71
! Energy relative to the elements (eV/f.u.): -0.8